5
Lattice="5.277 0.000 0.000 0.000 5.277 0.000 0.000 0.000 4.249" Properties=species:S:1:pos:R:3 comment="RbGaCl2F (PBE, optimized geometry)" n_ef_per_ev_cell=1.128 sg="No. 123" vol_a3_per_atom=23.66 formation_energy_uncorrected_ev_per_atom=-1.671 pbc="T T T"
Rb 0.000 0.000 0.000
Ga 2.638 2.638 2.125
Cl 0.000 2.638 2.125
Cl 2.638 0.000 2.125
F 2.638 2.638 0.000